# 1
LiPr3Th4Te8 (PBE, optimized geometry); spin magnetization = 0.00 μB per formula unit; E_tot = -5.6284 eV per atom
1.0
4.366 2.521 7.649
-4.366 2.521 7.649
0.000 -5.041 7.649
Li Pr Th Te
1 3 4 8
direct
0.000 0.000 0.000
0.000 0.500 0.500
0.500 0.000 0.500
0.500 0.500 0.000
0.000 0.000 0.500
0.000 0.500 0.000
0.500 0.000 0.000
0.500 0.500 0.500
0.239 0.759 0.759
0.241 0.241 0.761
0.241 0.761 0.241
0.250 0.250 0.250
0.750 0.750 0.750
0.759 0.239 0.759
0.759 0.759 0.239
0.761 0.241 0.241

# 2
LiPrTh2Te5 (PBE, optimized geometry); spin magnetization = 0.00 μB per formula unit; E_tot = -5.2675 eV per atom
1.0
2.172 -9.389 0.000
2.172 9.389 0.000
0.000 0.000 13.462
Li Pr Th Te
2 2 4 10
direct
0.056 0.944 0.500
0.944 0.056 0.000
0.298 0.702 0.039
0.702 0.298 0.539
0.370 0.630 0.336
0.393 0.607 0.715
0.607 0.393 0.215
0.630 0.370 0.836
0.002 0.998 0.821
0.130 0.870 0.034
0.186 0.814 0.370
0.216 0.784 0.708
0.453 0.547 0.113
0.547 0.453 0.613
0.784 0.216 0.208
0.814 0.186 0.870
0.870 0.130 0.534
0.998 0.002 0.321

no.,V (Å³ per atom),ΔE_f (raw) (eV/atom),calculated density (g cm⁻³)
1,31.561,-1.1868,7.82
2,30.509,-1.1296,7.56